Density functional theory data (PBE) for Nb2FeSe4 after structural relaxation.

Summary:
The value obtained for the total energy is -6.6391 eV/atom. The magnetic moment comes out at 2.37 μB/f.u.

```
data_Nb2FeSe4
_space_group_name_H-M_alt 'P 1'
_space_group_IT_number 1
_space_group_name_Hall 'P 1'
_cell_length_a 7.2151
_cell_length_b 7.2151
_cell_length_c 12.5524
_cell_angle_alpha 90.00
_cell_angle_beta 90.00
_cell_angle_gamma 120.00
loop_
_atom_site_label
_atom_site_type_symbol
_atom_site_fract_x
_atom_site_fract_y
_atom_site_fract_z
Fe1 Fe 0.0000 0.0000 0.0000
Fe2 Fe 0.3333 0.6667 0.2500
Fe3 Fe 0.0000 0.0000 0.5000
Fe4 Fe 0.6667 0.3333 0.7500
Nb1 Nb 0.0000 0.0000 0.2500
Nb2 Nb 0.5260 0.0519 0.2500
Nb3 Nb 0.5260 0.4740 0.2500
Nb4 Nb 0.9481 0.4740 0.2500
Nb5 Nb 0.0000 0.0000 0.7500
Nb6 Nb 0.0519 0.5260 0.7500
Nb7 Nb 0.4740 0.5260 0.7500
Nb8 Nb 0.4740 0.9481 0.7500
Se1 Se 0.6667 0.3333 0.0996
Se2 Se 0.1667 0.3334 0.1217
Se3 Se 0.1667 0.8333 0.1217
Se4 Se 0.6666 0.8333 0.1217
Se5 Se 0.1667 0.3334 0.3783
Se6 Se 0.1667 0.8333 0.3783
Se7 Se 0.6666 0.8333 0.3783
Se8 Se 0.6667 0.3333 0.4004
Se9 Se 0.3333 0.6667 0.5996
Se10 Se 0.3334 0.1667 0.6217
Se11 Se 0.8333 0.1667 0.6217
Se12 Se 0.8333 0.6666 0.6217
Se13 Se 0.3334 0.1667 0.8783
Se14 Se 0.8333 0.1667 0.8783
Se15 Se 0.8333 0.6666 0.8783
Se16 Se 0.3333 0.6667 0.9004
```

=====

Density functional theory data (PBE) for Nb4Fe4Si7 after structural relaxation.

Summary:
The value obtained for the total energy is -8.0530 eV/atom. The magnetic moment comes out at 1.39 μB/f.u.

```
data_Nb4Fe4Si7
_space_group_name_H-M_alt 'P 1'
_space_group_IT_number 1
_space_group_name_Hall 'P 1'
_cell_length_a 9.2333
_cell_length_b 9.2333
_cell_length_c 9.2333
_cell_angle_alpha 94.20
_cell_angle_beta 94.20
_cell_angle_gamma 148.61
loop_
_atom_site_label
_atom_site_type_symbol
_atom_site_fract_x
_atom_site_fract_y
_atom_site_fract_z
Fe1 Fe 0.6006 0.1006 0.2011
Fe2 Fe 0.1006 0.6006 0.2011
Fe3 Fe 0.8994 0.1006 0.5000
Fe4 Fe 0.6006 0.3994 0.5000
Fe5 Fe 0.3994 0.6006 0.5000
Fe6 Fe 0.1006 0.8994 0.5000
Fe7 Fe 0.8994 0.3994 0.7989
Fe8 Fe 0.3994 0.8994 0.7989
Nb1 Nb 0.8649 0.1351 0.0000
Nb2 Nb 0.1351 0.8649 0.0000
Nb3 Nb 0.6923 0.5000 0.1923
Nb4 Nb 0.5000 0.6923 0.1923
Nb5 Nb 0.1351 0.1351 0.2701
Nb6 Nb 0.8649 0.8649 0.7299
Nb7 Nb 0.5000 0.3077 0.8077
Nb8 Nb 0.3077 0.5000 0.8077
Si1 Si 0.2492 0.2492 0.0000
Si2 Si 0.7092 0.2908 0.0000
Si3 Si 0.2908 0.7092 0.0000
Si4 Si 0.7508 0.7508 0.0000
Si5 Si 0.2978 0.0000 0.2978
Si6 Si 0.0000 0.2978 0.2978
Si7 Si 0.9057 0.5000 0.4057
Si8 Si 0.5000 0.9057 0.4057
Si9 Si 0.7092 0.7092 0.4183
Si10 Si 0.2908 0.2908 0.5817
Si11 Si 0.5000 0.0943 0.5943
Si12 Si 0.0943 0.5000 0.5943
Si13 Si 0.7022 0.0000 0.7022
Si14 Si 0.0000 0.7022 0.7022
```

=====

Density functional theory data (PBE) for NbFeSi2 after structural relaxation.

Summary:
The value obtained for the total energy is -7.2421 eV/atom. The magnetic moment comes out at 1.03 μB/f.u.

```
data_NbFeSi2
_space_group_name_H-M_alt 'P 1'
_space_group_IT_number 1
_space_group_name_Hall 'P 1'
_cell_length_a 4.2668
_cell_length_b 4.2668
_cell_length_c 4.2668
_cell_angle_alpha 60.00
_cell_angle_beta 60.00
_cell_angle_gamma 60.00
loop_
_atom_site_label
_atom_site_type_symbol
_atom_site_fract_x
_atom_site_fract_y
_atom_site_fract_z
Fe1 Fe 0.2500 0.2500 0.2500
Nb1 Nb 0.5000 0.5000 0.5000
Si1 Si 0.0000 0.0000 0.0000
Si2 Si 0.7500 0.7500 0.7500
```

=====

Density functional theory data (PBE) for Tm2NbFeSi2 after structural relaxation.

Summary:
The value obtained for the total energy is -6.9307 eV/atom. The magnetic moment comes out at 1.96 μB/f.u.

```
data_Tm2NbFeSi2
_space_group_name_H-M_alt 'P 1'
_space_group_IT_number 1
_space_group_name_Hall 'P 1'
_cell_length_a 3.9206
_cell_length_b 3.9206
_cell_length_c 7.3142
_cell_angle_alpha 90.00
_cell_angle_beta 90.00
_cell_angle_gamma 90.00
loop_
_atom_site_label
_atom_site_type_symbol
_atom_site_fract_x
_atom_site_fract_y
_atom_site_fract_z
Fe1 Fe 0.0000 0.0000 0.0000
Nb1 Nb 0.5000 0.5000 0.0000
Si1 Si 0.0000 0.5000 0.2338
Si2 Si 0.5000 0.0000 0.7662
Tm1 Tm 0.5000 0.0000 0.3488
Tm2 Tm 0.0000 0.5000 0.6512
```

=====

Density functional theory data (PBE) for NbZnFeSi after structural relaxation.

Summary:
As for the distance to the lowest polymorph of the same formula: 0 meV per atom. The magnetic moment comes out at 0.82 μB/f.u.

```
data_NbZnFeSi
_space_group_name_H-M_alt 'P 1'
_space_group_IT_number 1
_space_group_name_Hall 'P 1'
_cell_length_a 4.2589
_cell_length_b 4.2589
_cell_length_c 4.2589
_cell_angle_alpha 60.00
_cell_angle_beta 60.00
_cell_angle_gamma 60.00
loop_
_atom_site_label
_atom_site_type_symbol
_atom_site_fract_x
_atom_site_fract_y
_atom_site_fract_z
Fe1 Fe 0.7500 0.7500 0.7500
Nb1 Nb 0.5000 0.5000 0.5000
Si1 Si 0.0000 0.0000 0.0000
Zn1 Zn 0.2500 0.2500 0.2500
```

=====

Density functional theory data (PBE) for NbZnFeSi after structural relaxation.

Summary:
As for the distance to the lowest polymorph of the same formula: 12 meV per atom. The magnetic moment comes out at 1.99 μB/f.u.

```
data_NbZnFeSi
_space_group_name_H-M_alt 'P 1'
_space_group_IT_number 1
_space_group_name_Hall 'P 1'
_cell_length_a 4.2799
_cell_length_b 4.2799
_cell_length_c 4.2799
_cell_angle_alpha 60.00
_cell_angle_beta 60.00
_cell_angle_gamma 60.00
loop_
_atom_site_label
_atom_site_type_symbol
_atom_site_fract_x
_atom_site_fract_y
_atom_site_fract_z
Fe1 Fe 0.7500 0.7500 0.7500
Nb1 Nb 0.2500 0.2500 0.2500
Si1 Si 0.0000 0.0000 0.0000
Zn1 Zn 0.5000 0.5000 0.5000
```

=====

Density functional theory data (PBE) for Nb2FeSn after structural relaxation.

Summary:
The value obtained for the total energy is -7.9552 eV/atom. The magnetic moment comes out at 2.12 μB/f.u.

```
data_Nb2FeSn
_space_group_name_H-M_alt 'P 1'
_space_group_IT_number 1
_space_group_name_Hall 'P 1'
_cell_length_a 4.5716
_cell_length_b 4.5716
_cell_length_c 4.5716
_cell_angle_alpha 60.00
_cell_angle_beta 60.00
_cell_angle_gamma 60.00
loop_
_atom_site_label
_atom_site_type_symbol
_atom_site_fract_x
_atom_site_fract_y
_atom_site_fract_z
Fe1 Fe 0.2500 0.2500 0.2500
Nb1 Nb 0.0000 0.0000 0.0000
Nb2 Nb 0.7500 0.7500 0.7500
Sn1 Sn 0.5000 0.5000 0.5000
```

=====

Density functional theory data (PBE) for NbFe2Sn after structural relaxation.

Summary:
The value obtained for the total energy is -7.5052 eV/atom. The magnetic moment comes out at 3.71 μB/f.u.

```
data_NbFe2Sn
_space_group_name_H-M_alt 'P 1'
_space_group_IT_number 1
_space_group_name_Hall 'P 1'
_cell_length_a 4.3887
_cell_length_b 4.3887
_cell_length_c 4.3887
_cell_angle_alpha 60.00
_cell_angle_beta 60.00
_cell_angle_gamma 60.00
loop_
_atom_site_label
_atom_site_type_symbol
_atom_site_fract_x
_atom_site_fract_y
_atom_site_fract_z
Fe1 Fe 0.0000 0.0000 0.0000
Fe2 Fe 0.7500 0.7500 0.7500
Nb1 Nb 0.2500 0.2500 0.2500
Sn1 Sn 0.5000 0.5000 0.5000
```

=====

Density functional theory data (PBE) for NbFeSn2 after structural relaxation.

Summary:
The value obtained for the total energy is -6.1238 eV/atom. The magnetic moment comes out at 1.17 μB/f.u.

```
data_NbFeSn2
_space_group_name_H-M_alt 'P 1'
_space_group_IT_number 1
_space_group_name_Hall 'P 1'
_cell_length_a 4.7881
_cell_length_b 4.7881
_cell_length_c 4.7881
_cell_angle_alpha 60.00
_cell_angle_beta 60.00
_cell_angle_gamma 60.00
loop_
_atom_site_label
_atom_site_type_symbol
_atom_site_fract_x
_atom_site_fract_y
_atom_site_fract_z
Fe1 Fe 0.2500 0.2500 0.2500
Nb1 Nb 0.5000 0.5000 0.5000
Sn1 Sn 0.0000 0.0000 0.0000
Sn2 Sn 0.7500 0.7500 0.7500
```

=====

Density functional theory data (PBE) for NbFeSnW after structural relaxation.

Summary:
As for the distance to the lowest polymorph of the same formula: 0 meV per atom. The magnetic moment comes out at 1.26 μB/f.u.

```
data_NbFeSnW
_space_group_name_H-M_alt 'P 1'
_space_group_IT_number 1
_space_group_name_Hall 'P 1'
_cell_length_a 4.5331
_cell_length_b 4.5331
_cell_length_c 4.5331
_cell_angle_alpha 60.00
_cell_angle_beta 60.00
_cell_angle_gamma 60.00
loop_
_atom_site_label
_atom_site_type_symbol
_atom_site_fract_x
_atom_site_fract_y
_atom_site_fract_z
Fe1 Fe 0.7500 0.7500 0.7500
Nb1 Nb 0.5000 0.5000 0.5000
Sn1 Sn 0.0000 0.0000 0.0000
W1 W 0.2500 0.2500 0.2500
```

=====

Density functional theory data (PBE) for YNbFeSn after structural relaxation.

Summary:
As for the distance to the lowest polymorph of the same formula: 0 meV per atom. The magnetic moment comes out at 2.34 μB/f.u.

```
data_YNbFeSn
_space_group_name_H-M_alt 'P 1'
_space_group_IT_number 1
_space_group_name_Hall 'P 1'
_cell_length_a 4.7781
_cell_length_b 4.7781
_cell_length_c 4.7781
_cell_angle_alpha 60.00
_cell_angle_beta 60.00
_cell_angle_gamma 60.00
loop_
_atom_site_label
_atom_site_type_symbol
_atom_site_fract_x
_atom_site_fract_y
_atom_site_fract_z
Fe1 Fe 0.7500 0.7500 0.7500
Nb1 Nb 0.2500 0.2500 0.2500
Sn1 Sn 0.0000 0.0000 0.0000
Y1 Y 0.5000 0.5000 0.5000
```

=====

Density functional theory data (PBE) for NbZnFeSn after structural relaxation.

Summary:
As for the distance to the lowest polymorph of the same formula: 123 meV per atom. The magnetic moment comes out at 2.46 μB/f.u.

```
data_NbZnFeSn
_space_group_name_H-M_alt 'P 1'
_space_group_IT_number 1
_space_group_name_Hall 'P 1'
_cell_length_a 4.5330
_cell_length_b 4.5330
_cell_length_c 4.5330
_cell_angle_alpha 60.00
_cell_angle_beta 60.00
_cell_angle_gamma 60.00
loop_
_atom_site_label
_atom_site_type_symbol
_atom_site_fract_x
_atom_site_fract_y
_atom_site_fract_z
Fe1 Fe 0.7500 0.7500 0.7500
Nb1 Nb 0.2500 0.2500 0.2500
Sn1 Sn 0.0000 0.0000 0.0000
Zn1 Zn 0.5000 0.5000 0.5000
```